(1)
# Hf2VAs2 PBE relaxed
data_Hf2VAs2
_space_group_name_H-M_alt 'P 4/m b m'
_space_group_IT_number 127
_space_group_name_Hall '-P 4 2ab'
_cell_length_a 6.834
_cell_length_b 6.834
_cell_length_c 3.738
_cell_angle_alpha 90.00
_cell_angle_beta 90.00
_cell_angle_gamma 90.00
loop_
_atom_site_label
_atom_site_fract_x
_atom_site_fract_y
_atom_site_fract_z
Hf1 0.160 0.340 0.000
V1 0.000 0.000 0.500
As1 0.147 0.647 0.500
# V (Å³ per atom): 17.5
# Relative energy among the computed polymorphs (meV/atom): 0
# Mass density (g/cm³): 10.61
# Calculated formation energy (meV per atom): -672

=====

(2)
# Hf3V2As4 PBE relaxed
data_Hf3V2As4
_space_group_name_H-M_alt 'C 1 2/m 1'
_space_group_IT_number 12
_space_group_name_Hall '-C 2y'
_cell_length_a 13.136
_cell_length_b 3.547
_cell_length_c 8.561
_cell_angle_alpha 90.00
_cell_angle_beta 126.87
_cell_angle_gamma 90.00
loop_
_atom_site_label
_atom_site_fract_x
_atom_site_fract_y
_atom_site_fract_z
Hf1 0.000 0.000 0.000
Hf2 0.139 0.500 0.698
V1 0.195 0.500 0.369
As1 0.060 0.000 0.381
As2 0.173 0.500 0.054
# V (Å³ per atom): 17.7
# Mass density (g/cm³): 9.75
# Calculated formation energy (meV per atom): -695

=====

(3)
# HfVAs2 PBE relaxed
data_HfVAs2
_space_group_name_H-M_alt 'R -3 m'
_space_group_IT_number 166
_space_group_name_Hall '-R 3 2"'
_cell_length_a 3.8241
_cell_length_b 3.8241
_cell_length_c 17.5456
_cell_angle_alpha 90.00
_cell_angle_beta 90.00
_cell_angle_gamma 120.00
loop_
_atom_site_label
_atom_site_fract_x
_atom_site_fract_y
_atom_site_fract_z
Hf1 0.0000 0.0000 0.0000
V1 0.0000 0.0000 0.5000
As1 0.0000 0.0000 0.2434
# V (Å³ per atom): 18.5
# Relative energy among the computed polymorphs (meV/atom): 0
# Mass density (g/cm³): 8.50
# Calculated formation energy (meV per atom): -580

=====

Which value of mass density does entry 3 give? 8.50 g/cm³